Record 1
TaPCl2: optimized geometry, PBEsol.

Values from the calculation:
E_form (uncorrected) (eV/atom): -0.542
Excess energy over the best structure of this formula in the dataset (meV per atom): 0

Cell: 6.8720 6.8720 3.0558 Å, 90.00 90.00 138.13°
Element x y z (fractional)
Ta 0.0000 0.0000 0.0000
P 0.5000 0.5000 0.0000
Cl 0.1493 0.8507 0.5000
Cl 0.8507 0.1493 0.5000

---

Record 2
ZrAlMo4: optimized geometry, PBEsol.

Values from the calculation:
Energy relative to the elements (eV/f.u.): 0.08

Cell: 5.2332 5.2332 5.2332 Å, 60.00 60.00 60.00°
Element x y z (fractional)
Zr 0.0000 0.0000 0.0000
Al 0.2500 0.2500 0.2500
Mo 0.1268 0.6244 0.6244
Mo 0.6244 0.1268 0.6244
Mo 0.6244 0.6244 0.1268
Mo 0.6244 0.6244 0.6244

---

Record 3
Zn2Te: optimized geometry, PBEsol.

Values from the calculation:
E_form (uncorrected) (eV/atom): 0.050
Excess energy over the best structure of this formula in the dataset (meV per atom): 53

Cell: 3.7084 3.7084 8.9625 Å, 90.00 90.00 90.00°
Element x y z (fractional)
Zn 0.2500 0.2500 0.2212
Zn 0.2500 0.7500 0.0000
Zn 0.7500 0.2500 0.0000
Zn 0.7500 0.7500 0.7788
Te 0.2500 0.2500 0.6703
Te 0.7500 0.7500 0.3297

---

Record 4
Zr2CoS4: optimized geometry, PBEsol.

Values from the calculation:
E_form (uncorrected) (eV/atom): -1.388

Cell: 6.7396 6.7396 6.1929 Å, 116.57 116.57 30.76°
Element x y z (fractional)
Zr 0.0000 0.0000 0.0000
Zr 0.5007 0.5007 0.4883
Co 0.3242 0.3242 0.9863
S 0.1312 0.1312 0.7838
S 0.3706 0.3706 0.6914
S 0.6330 0.6330 0.2906
S 0.8625 0.8625 0.1947

---

Record 5
Ba2CaI6: optimized geometry, PBEsol.

Values from the calculation:
E_form (uncorrected) (eV/atom): -1.670

Cell: 8.0724 8.0724 24.1719 Å, 90.00 90.00 90.00°
Element x y z (fractional)
Ba 0.0000 0.0000 0.1653
Ba 0.0000 0.0000 0.8347
Ba 0.0000 0.5000 0.3366
Ba 0.0000 0.5000 0.6634
Ba 0.5000 0.0000 0.3366
Ba 0.5000 0.0000 0.6634
Ba 0.5000 0.5000 0.1653
Ba 0.5000 0.5000 0.8347
Ca 0.0000 0.0000 0.5000
Ca 0.0000 0.5000 0.0000
Ca 0.5000 0.0000 0.0000
Ca 0.5000 0.5000 0.5000
I 0.2084 0.2080 0.4197
I 0.2080 0.7916 0.5803
I 0.2138 0.7147 0.9193
I 0.2147 0.7138 0.0807
I 0.2447 0.2498 0.7493
I 0.2502 0.2553 0.2507
I 0.2498 0.7553 0.2507
I 0.2553 0.7498 0.7493
I 0.2853 0.2138 0.0807
I 0.2862 0.2147 0.9193
I 0.2920 0.2916 0.5803
I 0.2916 0.7080 0.4197
I 0.7084 0.2920 0.4197
I 0.7080 0.7084 0.5803
I 0.7138 0.7853 0.9193
I 0.7147 0.7862 0.0807
I 0.7447 0.2502 0.7493
I 0.7502 0.2447 0.2507
I 0.7498 0.7447 0.2507
I 0.7553 0.7502 0.7493
I 0.7853 0.2862 0.0807
I 0.7862 0.2853 0.9193
I 0.7920 0.2084 0.5803
I 0.7916 0.7920 0.4197

---

Record 6
SbAuCl: optimized geometry, PBEsol.

Values from the calculation:
E_form (uncorrected) (eV/atom): -0.200

Cell: 6.1925 6.1925 6.1925 Å, 144.52 142.21 52.80°
Element x y z (fractional)
Sb 0.0000 0.0000 0.0000
Au 0.4814 0.4814 0.0000
Cl 0.2172 0.2172 0.0000